Entry 1:
VASP calculation (PBE-GGA) on crystalline CsNa2BiPb at its relaxed geometry. Values from VASP.

## Properties
For the formation energy, the calculation gives 710 meV per atom. For the total magnetization, the calculation gives 0.00 μB per cell.

Quantum ESPRESSO input file:
```
&SYSTEM
  ibrav = 0, nat = 5, ntyp = 4
/
ATOMIC_SPECIES
Cs 132.91 Cs.upf
Na 22.99 Na.upf
Bi 208.98 Bi.upf
Pb 207.20 Pb.upf
CELL_PARAMETERS angstrom
5.938 0.000 0.000
0.000 5.938 0.000
0.000 0.000 6.391
ATOMIC_POSITIONS crystal
Cs 0.000 0.000 0.000
Na 0.000 0.500 0.000
Na 0.500 0.000 0.000
Bi 0.500 0.500 0.500
Pb 0.000 0.000 0.500
```

***

Entry 2:
VASP calculation (PBE-GGA) on crystalline SrPmEuGd at its relaxed geometry. Values from VASP.

## Properties
For the formation energy, the calculation gives 189 meV per atom. For the total magnetization, the calculation gives 14.69 μB per cell.

Quantum ESPRESSO input file:
```
&SYSTEM
  ibrav = 0, nat = 4, ntyp = 4
/
ATOMIC_SPECIES
Sr 87.62 Sr.upf
Pm 145.00 Pm.upf
Eu 151.96 Eu.upf
Gd 157.25 Gd.upf
CELL_PARAMETERS angstrom
0.000 4.275 4.275
4.275 0.000 4.275
4.275 4.275 0.000
ATOMIC_POSITIONS crystal
Sr 0.000 0.000 0.000
Pm 0.750 0.750 0.750
Eu 0.250 0.250 0.250
Gd 0.500 0.500 0.500
```

***

Entry 3:
VASP calculation (PBE-GGA) on crystalline Zr4AlCu2 at its relaxed geometry. Values from VASP.

## Properties
For the formation energy, the calculation gives 213 meV per atom. For the total magnetization, the calculation gives 0.00 μB per cell.

Quantum ESPRESSO input file:
```
&SYSTEM
  ibrav = 0, nat = 7, ntyp = 3
/
ATOMIC_SPECIES
Zr 91.22 Zr.upf
Al 26.98 Al.upf
Cu 63.55 Cu.upf
CELL_PARAMETERS angstrom
3.013 0.000 0.000
-1.506 2.609 0.000
0.000 0.000 17.773
ATOMIC_POSITIONS crystal
Zr 0.333 0.667 0.361
Zr 0.333 0.667 0.922
Zr 0.667 0.333 0.078
Zr 0.667 0.333 0.639
Al 0.000 0.000 0.500
Cu 0.333 0.667 0.206
Cu 0.667 0.333 0.794
```

***

Entry 4:
VASP calculation (PBE-GGA) on crystalline TlMoP3 at its relaxed geometry. Values from VASP.

## Properties
For the formation energy, the calculation gives 2166 meV per atom. For the total magnetization, the calculation gives 0.00 μB per cell.

Quantum ESPRESSO input file:
```
&SYSTEM
  ibrav = 0, nat = 5, ntyp = 3
/
ATOMIC_SPECIES
Tl 204.38 Tl.upf
Mo 95.94 Mo.upf
P 30.97 P.upf
CELL_PARAMETERS angstrom
4.915 0.000 0.000
0.000 4.915 0.000
0.000 0.000 4.915
ATOMIC_POSITIONS crystal
Tl 0.000 0.000 0.000
Mo 0.500 0.500 0.500
P 0.000 0.000 0.500
P 0.000 0.500 0.000
P 0.500 0.000 0.000
```

***

Entry 5:
VASP calculation (PBE-GGA) on crystalline Gd2YAg at its relaxed geometry. Values from VASP.

## Properties
For the formation energy, the calculation gives -6 meV per atom. For the total magnetization, the calculation gives 15.17 μB per cell.

Quantum ESPRESSO input file:
```
&SYSTEM
  ibrav = 0, nat = 4, ntyp = 3
/
ATOMIC_SPECIES
Gd 157.25 Gd.upf
Y 88.91 Y.upf
Ag 107.87 Ag.upf
CELL_PARAMETERS angstrom
5.454 0.000 0.000
0.000 5.454 0.000
0.000 0.000 3.773
ATOMIC_POSITIONS crystal
Gd 0.000 0.500 0.000
Gd 0.500 0.000 0.000
Y 0.000 0.000 0.500
Ag 0.500 0.500 0.500
```

***

Entry 6:
VASP calculation (PBE-GGA) on crystalline TiSiTe2I at its relaxed geometry. Values from VASP.

## Properties
The uncorrected formation energy is 0.350 eV per atom. For the total magnetization, the calculation gives 1.42 μB per cell.

Quantum ESPRESSO input file:
```
&SYSTEM
  ibrav = 0, nat = 5, ntyp = 4
/
ATOMIC_SPECIES
Ti 47.87 Ti.upf
Si 28.09 Si.upf
Te 127.60 Te.upf
I 126.90 I.upf
CELL_PARAMETERS angstrom
5.323 0.000 0.000
0.000 5.323 0.000
0.000 0.000 5.569
ATOMIC_POSITIONS crystal
Ti 0.000 0.000 0.000
Si 0.500 0.500 0.500
Te 0.000 0.500 0.000
Te 0.500 0.000 0.000
I 0.000 0.000 0.500
```

***

Across the entries above, raw total energy takes the values -1.506 -7.508 -6.377 -3.720 -9.375 -3.880 eV per atom, respectively.